Entry 1:
An optimized crystal structure of Tb2Ho9Th, computed with PBE.

Energy: -4.80 eV/atom
DFT formation energy: 26.2 meV per atom
Total magnetization: 0.00 Bohr magnetons per cell

Unit cell a=5.002 b=5.002 c=14.984 alpha=90.00 beta=90.00 gamma=90.00
Positions (direct):
Ho 0.500 0.500 0.665
Ho 0.500 0.000 0.165
Ho 0.500 0.000 0.500
Ho 0.500 0.000 0.835
Ho 0.500 0.500 0.335
Ho 0.000 0.500 0.835
Tb 0.000 0.000 0.333
Ho 0.000 0.500 0.165
Tb 0.000 0.000 0.667
Ho 0.000 0.500 0.500
Th 0.000 0.000 0.000
Ho 0.500 0.500 0.000

***

Entry 2:
An optimized crystal structure of Tb5Ho4Th, computed with PBE.

Energy: -4.56 eV/atom
DFT formation energy: 325.9 meV per atom
ΔE to the lowest computed polymorph: 1.101 eV/f.u.
Total magnetization: 0.00 Bohr magnetons per cell

Unit cell a=6.361 b=7.847 c=7.847 alpha=80.54 beta=66.09 gamma=66.09
Positions (direct):
Tb 0.095 0.623 0.088
Tb 0.184 0.912 0.623
Ho 0.103 0.296 0.395
Tb 0.689 0.000 0.000
Tb 0.806 0.377 0.912
Ho 0.498 0.605 0.296
Ho 0.794 0.704 0.605
Tb 0.718 0.088 0.377
Th 0.225 0.000 0.000
Ho 0.399 0.395 0.704

***

Entry 3:
An optimized crystal structure of Tb2Ho4Th3, computed with PBE.

Energy: -5.46 eV/atom
DFT formation energy: 79.7 meV per atom
Total magnetization: 0.00 Bohr magnetons per cell

Unit cell a=3.552 b=3.552 c=26.398 alpha=90.00 beta=90.00 gamma=120.00
Positions (direct):
Th 0.000 0.000 0.983
Ho 0.000 0.000 0.762
Th 0.667 0.333 0.652
Tb 0.667 0.333 0.091
Tb 0.667 0.333 0.871
Ho 0.667 0.333 0.217
Th 0.000 0.000 0.323
Ho 0.667 0.333 0.435
Ho 0.000 0.000 0.542

***

Entry 4:
An optimized crystal structure of Tb5Ho2Th3, computed with PBE.

Energy: -5.42 eV/atom
DFT formation energy: 35.9 meV per atom
Total magnetization: 0.00 Bohr magnetons per cell

Unit cell a=5.039 b=6.152 c=12.895 alpha=61.05 beta=78.73 gamma=65.82
Positions (direct):
Tb 0.199 0.001 0.600
Ho 0.598 0.007 0.797
Tb 0.699 0.500 0.101
Tb 0.000 0.000 0.000
Th 0.901 0.497 0.700
Tb 0.301 0.500 0.899
Ho 0.402 0.993 0.203
Th 0.500 0.500 0.500
Th 0.099 0.503 0.300
Tb 0.801 0.999 0.400

***

Entry 5:
An optimized crystal structure of Tb2HoTh5, computed with PBE.

Energy: -5.51 eV/atom
DFT formation energy: 855.6 meV per atom
ΔE to the lowest computed polymorph: 6.389 eV/f.u.
Total magnetization: 0.00 Bohr magnetons per cell

Unit cell a=5.539 b=7.328 c=7.328 alpha=90.00 beta=90.00 gamma=90.00
Positions (direct):
Tb 0.500 0.000 0.500
Ho 0.000 0.000 0.000
Th 0.500 0.000 0.000
Th 0.000 0.714 0.286
Tb 0.500 0.500 0.000
Th 0.000 0.714 0.714
Th 0.000 0.286 0.286
Th 0.000 0.286 0.714

***

Entry 6:
An optimized crystal structure of Tb2Ho8Th3, computed with PBE.

Energy: -5.08 eV/atom
DFT formation energy: 162.2 meV per atom
ΔE to the lowest computed polymorph: 0.000 eV/f.u.
Total magnetization: 0.00 Bohr magnetons per cell

Unit cell a=5.606 b=6.765 c=11.899 alpha=106.52 beta=103.61 gamma=90.00
Positions (direct):
Tb 0.724 0.724 0.448
Th 0.000 0.732 0.000
Ho 0.683 0.183 0.365
Th 0.000 0.268 0.000
Ho 0.425 0.425 0.849
Ho 0.850 0.111 0.700
Tb 0.276 0.276 0.552
Ho 0.317 0.817 0.635
Th 0.500 0.000 0.000
Ho 0.150 0.889 0.300
Ho 0.575 0.575 0.151
Ho 0.150 0.411 0.300
Ho 0.850 0.589 0.700

***

Entry 7:
An optimized crystal structure of TbHo2Th, computed with PBE.

Energy: -5.16 eV/atom
DFT formation energy: 146.4 meV per atom
ΔE to the lowest computed polymorph: 0.559 eV/f.u.
Total magnetization: 0.00 Bohr magnetons per cell

Unit cell a=5.654 b=5.654 c=5.654 alpha=60.00 beta=60.00 gamma=60.00
Positions (direct):
Tb 0.000 0.000 0.000
Ho 0.250 0.250 0.250
Th 0.500 0.500 0.500
Ho 0.750 0.750 0.750

***

Entry 8:
An optimized crystal structure of Tb12HoTh6, computed with PBE.

Energy: -5.35 eV/atom
DFT formation energy: 162.6 meV per atom
Total magnetization: 0.00 Bohr magnetons per cell

Unit cell a=8.682 b=8.682 c=8.682 alpha=97.63 beta=97.63 gamma=97.63
Positions (direct):
Tb 0.586 0.587 0.168
Th 0.137 0.137 0.407
Tb 0.168 0.586 0.587
Tb 0.262 0.738 0.000
Tb 0.738 0.262 0.000
Tb 0.587 0.168 0.586
Tb 0.000 0.262 0.738
Tb 0.413 0.832 0.414
Tb 0.738 0.000 0.262
Th 0.593 0.863 0.863
Tb 0.832 0.414 0.413
Tb 0.262 0.000 0.738
Th 0.137 0.407 0.137
Ho 0.000 0.000 0.000
Th 0.863 0.593 0.863
Tb 0.000 0.738 0.262
Th 0.407 0.137 0.137
Tb 0.414 0.413 0.832
Th 0.863 0.863 0.593

***

Question: energy of number 1 (Tb2Ho9Th)?
Answer: -4.80 eV/atom